Version 1
The following is a PBE-GGA calculation of a relaxed structure of KIrPd2, from the Alexandria database.

For the total moment, the calculation gives 1.580 μB per formula unit. The value obtained for the density of states at the Fermi level is 14.2 states/eV/cell.

The structure belongs to space group Fm-3m (No. 225); the cell edges are 6.629, 6.629 and 6.629 Å and the angles 90.00°, 90.00° and 90.00°. The asymmetric unit holds K at (0.000, 0.000, 0.000), Ir at (0.000, 0.000, 0.500) and Pd at (0.250, 0.250, 0.250).

Version 2
The following is a PBE-GGA calculation of a relaxed structure of KIrPd2, from the Alexandria database.

For the total moment, the calculation gives 0.000 μB per formula unit. The value obtained for the density of states at the Fermi level is 20.8 states/eV/cell.

The structure belongs to space group I-42d (No. 122); the cell edges are 5.309, 5.309 and 16.549 Å and the angles 90.00°, 90.00° and 90.00°. The asymmetric unit holds K at (0.000, 0.000, 0.000), Ir at (0.000, 0.000, 0.500) and Pd at (0.032, 0.250, 0.625).

Verdict on stability: version 1 comes out at the bottom.

Version 1
The following is a PBE-GGA calculation of a relaxed structure of KIrPd3, from the Alexandria database.

For the total moment, the calculation gives 0.740 μB per formula unit. The value obtained for the density of states at the Fermi level is 7.5 states/eV/cell.

The structure belongs to space group Pm-3m (No. 221); the cell edges are 4.964, 4.964 and 4.964 Å and the angles 90.00°, 90.00° and 90.00°. The asymmetric unit holds K at (0.000, 0.000, 0.000), Ir at (0.500, 0.500, 0.500) and Pd at (0.000, 0.500, 0.500).

Version 2
The following is a PBE-GGA calculation of a relaxed structure of KIrPd3, from the Alexandria database.

For the total moment, the calculation gives 2.163 μB per formula unit. The value obtained for the density of states at the Fermi level is 14.4 states/eV/cell.

The structure belongs to space group Pm-3m (No. 221); the cell edges are 4.796, 4.796 and 4.796 Å and the angles 90.00°, 90.00° and 90.00°. The asymmetric unit holds K at (0.000, 0.000, 0.000), Ir at (0.500, 0.500, 0.500) and Pd at (0.000, 0.000, 0.500).

Verdict on stability: version 2 comes out at the bottom.

Version 1
The following is a PBE-GGA calculation of a relaxed structure of KIrPt2, from the Alexandria database.

For the total moment, the calculation gives 0.000 μB per formula unit. The value obtained for the density of states at the Fermi level is 4.3 states/eV/cell.

The structure belongs to space group P4/mmm (No. 123); the cell edges are 5.085, 5.085 and 2.724 Å and the angles 90.00°, 90.00° and 90.00°. The asymmetric unit holds K at (0.000, 0.000, 0.000), Ir at (0.500, 0.500, 0.000) and Pt at (0.000, 0.500, 0.500).

Version 2
The following is a PBE-GGA calculation of a relaxed structure of KIrPt2, from the Alexandria database.

For the total moment, the calculation gives 0.001 μB per formula unit. The value obtained for the density of states at the Fermi level is 4.7 states/eV/cell.

The structure belongs to space group P2/m (No. 10); the cell edges are 5.167, 2.710 and 5.416 Å and the angles 90.00°, 113.45° and 90.00°. The asymmetric unit holds K at (0.000, 0.000, 0.000), Ir at (0.000, 0.500, 0.500), Pt at (0.500, 0.000, 0.500) and Pt at (0.500, 0.500, 0.000).

Version 3
The following is a PBE-GGA calculation of a relaxed structure of KIrPt2, from the Alexandria database.

For the total moment, the calculation gives 0.000 μB per formula unit. The value obtained for the density of states at the Fermi level is 4.1 states/eV/cell.

The structure belongs to space group P4/mmm (No. 123); the cell edges are 2.838, 2.838 and 9.149 Å and the angles 90.00°, 90.00° and 90.00°. The asymmetric unit holds K at (0.000, 0.000, 0.000), Ir at (0.000, 0.000, 0.500) and Pt at (0.500, 0.500, 0.298).

Verdict on stability: version 2 comes out at the bottom.

Version 1
The following is a PBE-GGA calculation of a relaxed structure of KIr3Pt, from the Alexandria database.

For the total moment, the calculation gives 3.245 μB per formula unit. The value obtained for the density of states at the Fermi level is 5.5 states/eV/cell.

The structure belongs to space group Pm-3m (No. 221); the cell edges are 4.628, 4.628 and 4.628 Å and the angles 90.00°, 90.00° and 90.00°. The asymmetric unit holds K at (0.000, 0.000, 0.000), Ir at (0.000, 0.000, 0.500) and Pt at (0.500, 0.500, 0.500).

Version 2
The following is a PBE-GGA calculation of a relaxed structure of KIr3Pt, from the Alexandria database.

For the total moment, the calculation gives 3.317 μB per formula unit. The value obtained for the density of states at the Fermi level is 6.2 states/eV/cell.

The structure belongs to space group Pm-3m (No. 221); the cell edges are 4.929, 4.929 and 4.929 Å and the angles 90.00°, 90.00° and 90.00°. The asymmetric unit holds K at (0.000, 0.000, 0.000), Ir at (0.000, 0.500, 0.500) and Pt at (0.500, 0.500, 0.500).

Verdict on stability: version 1 comes out at the bottom.